1.
A plane-wave DFT calculation with PBE-GGA was carried out for a geometry-optimized Tl2ReSb structure.

As for the distance to the lowest polymorph of the same formula: 621 meV per atom. The calculated volume comes out at 98.6 Å³ per cell. For the energy, the calculation gives -17.1 eV/f.u.

abc: 4.205 4.205 5.577
angles: 90.00 90.00 90.00
Fractional positions:
Tl (0.000, 0.500, 0.000)
Tl (0.500, 0.000, 0.000)
Re (0.000, 0.000, 0.500)
Sb (0.500, 0.500, 0.500)

=====

2.
A plane-wave DFT calculation with PBE-GGA was carried out for a geometry-optimized Tl2ReSb structure.

As for the distance to the lowest polymorph of the same formula: 466 meV per atom. The calculated volume comes out at 107.5 Å³ per cell. For the energy, the calculation gives -17.7 eV/f.u.

abc: 2.899 2.899 12.787
angles: 90.00 90.00 90.00
Fractional positions:
Tl (0.000, 0.000, 0.196)
Tl (0.000, 0.000, 0.804)
Re (0.500, 0.500, 0.000)
Sb (0.500, 0.500, 0.500)

=====

3.
A plane-wave DFT calculation with PBE-GGA was carried out for a geometry-optimized Tl2ReSb structure.

As for the distance to the lowest polymorph of the same formula: 45 meV per atom. The calculated volume comes out at 100.0 Å³ per cell. For the energy, the calculation gives -19.4 eV/f.u.

abc: 10.642 10.642 10.642
angles: 17.95 17.95 17.95
Fractional positions:
Tl (0.000, 0.000, 0.000)
Tl (0.241, 0.241, 0.241)
Re (0.738, 0.738, 0.738)
Sb (0.465, 0.465, 0.465)

=====

4.
A plane-wave DFT calculation with PBE-GGA was carried out for a geometry-optimized TlReSb structure.

As for the distance to the lowest polymorph of the same formula: 347 meV per atom. The calculated volume comes out at 63.7 Å³ per cell. For the energy, the calculation gives -16.1 eV/f.u.

abc: 5.001 5.001 2.940
angles: 90.00 90.00 120.00
Fractional positions:
Tl (0.000, 0.000, 0.000)
Re (0.333, 0.667, 0.500)
Sb (0.667, 0.333, 0.500)

=====

5.
A plane-wave DFT calculation with PBE-GGA was carried out for a geometry-optimized Tl2ReSb structure.

As for the distance to the lowest polymorph of the same formula: 754 meV per atom. The calculated volume comes out at 92.6 Å³ per cell. For the energy, the calculation gives -16.6 eV/f.u.

abc: 5.078 5.078 5.078
angles: 60.00 60.00 60.00
Fractional positions:
Tl (0.250, 0.250, 0.250)
Tl (0.750, 0.750, 0.750)
Re (0.000, 0.000, 0.000)
Sb (0.500, 0.500, 0.500)

=====

6.
A plane-wave DFT calculation with PBE-GGA was carried out for a geometry-optimized Tl2ReSb structure.

As for the distance to the lowest polymorph of the same formula: 560 meV per atom. The calculated volume comes out at 193.0 Å³ per cell. For the energy, the calculation gives -17.3 eV/f.u.

abc: 11.449 11.449 11.449
angles: 158.98 158.98 29.90
Fractional positions:
Tl (0.116, 0.625, 0.991)
Tl (0.375, 0.366, 0.491)
Tl (0.634, 0.125, 0.009)
Tl (0.875, 0.884, 0.509)
Re (0.000, 0.000, 0.000)
Re (0.750, 0.250, 0.500)
Sb (0.250, 0.750, 0.500)
Sb (0.500, 0.500, 0.000)

=====

Sequential energy relative to the elements, uncorrected output: 1.054, 0.899, 0.479, 0.949, 1.187, 0.993 eV per atom